Entry 1:
A geometry-optimized BaSm2Mg9 structure, computed with GGA-PBE.

Properties
Its total magnetization is 0.0001 μB per atom. As for the formation enthalpy at 0 K: -6.89 kJ per mole of atoms. The calculation puts the density of states at the Fermi level at 11.09 states/eV/cell.

```
data_BaSm2Mg9
_chemical_formula_sum 'Ba1 Sm2 Mg9'
_cell_length_a 10.730
_cell_length_b 10.730
_cell_length_c 10.730
_cell_angle_alpha 33.53
_cell_angle_beta 33.53
_cell_angle_gamma 33.53
_symmetry_space_group_name_H-M 'P 1'
_symmetry_Int_Tables_number 1
loop_
_symmetry_equiv_pos_as_xyz
'x,y,z'
loop_
_atom_site_label
_atom_site_type_symbol
_atom_site_fract_x
_atom_site_fract_y
_atom_site_fract_z
Ba1 Ba 0.000 0.000 0.000
Sm1 Sm 0.150 0.150 0.150
Sm2 Sm 0.850 0.850 0.850
Mg1 Mg 0.082 0.588 0.588
Mg2 Mg 0.334 0.334 0.334
Mg3 Mg 0.412 0.412 0.918
Mg4 Mg 0.412 0.918 0.412
Mg5 Mg 0.500 0.500 0.500
Mg6 Mg 0.588 0.082 0.588
Mg7 Mg 0.588 0.588 0.082
Mg8 Mg 0.666 0.666 0.666
Mg9 Mg 0.918 0.412 0.412
```

=====

Entry 2:
A geometry-optimized BaSm2Mg3 structure, computed with GGA-PBE.

Properties
Its total magnetization is 0.0000 μB per atom. As for the formation enthalpy at 0 K: -6.30 kJ per mole of atoms. The calculation puts the density of states at the Fermi level at 4.97 states/eV/cell.

```
data_BaSm2Mg3
_chemical_formula_sum 'Ba1 Sm2 Mg3'
_cell_length_a 3.927
_cell_length_b 3.927
_cell_length_c 12.521
_cell_angle_alpha 90.00
_cell_angle_beta 90.00
_cell_angle_gamma 90.00
_symmetry_space_group_name_H-M 'P 1'
_symmetry_Int_Tables_number 1
loop_
_symmetry_equiv_pos_as_xyz
'x,y,z'
loop_
_atom_site_label
_atom_site_type_symbol
_atom_site_fract_x
_atom_site_fract_y
_atom_site_fract_z
Ba1 Ba 0.000 0.000 0.000
Sm1 Sm 0.000 0.000 0.353
Sm2 Sm 0.000 0.000 0.647
Mg1 Mg 0.500 0.500 0.201
Mg2 Mg 0.500 0.500 0.500
Mg3 Mg 0.500 0.500 0.799
```

=====

Entry 3:
A geometry-optimized BaSmMg2 structure, computed with GGA-PBE.

Properties
Its total magnetization is 0.0000 μB per atom. As for the formation enthalpy at 0 K: 2.34 kJ per mole of atoms. The calculation puts the density of states at the Fermi level at 16.12 states/eV/cell. The distance to the lowest polymorph of the same formula comes out at 0.070 eV per atom.

```
data_BaSmMg2
_chemical_formula_sum 'Ba4 Sm4 Mg8'
_cell_length_a 8.167
_cell_length_b 8.167
_cell_length_c 8.167
_cell_angle_alpha 90.00
_cell_angle_beta 90.00
_cell_angle_gamma 90.00
_symmetry_space_group_name_H-M 'P 1'
_symmetry_Int_Tables_number 1
loop_
_symmetry_equiv_pos_as_xyz
'x,y,z'
loop_
_atom_site_label
_atom_site_type_symbol
_atom_site_fract_x
_atom_site_fract_y
_atom_site_fract_z
Ba1 Ba 0.000 0.000 0.000
Ba2 Ba 0.000 0.500 0.500
Ba3 Ba 0.500 0.000 0.500
Ba4 Ba 0.500 0.500 0.000
Sm1 Sm 0.000 0.000 0.500
Sm2 Sm 0.000 0.500 0.000
Sm3 Sm 0.500 0.000 0.000
Sm4 Sm 0.500 0.500 0.500
Mg1 Mg 0.250 0.250 0.250
Mg2 Mg 0.250 0.250 0.750
Mg3 Mg 0.250 0.750 0.250
Mg4 Mg 0.250 0.750 0.750
Mg5 Mg 0.750 0.250 0.250
Mg6 Mg 0.750 0.250 0.750
Mg7 Mg 0.750 0.750 0.250
Mg8 Mg 0.750 0.750 0.750
```

=====

Entry 4:
A geometry-optimized BaSmMg4 structure, computed with GGA-PBE.

Properties
Its total magnetization is 0.0000 μB per atom. As for the formation enthalpy at 0 K: -3.95 kJ per mole of atoms. The calculation puts the density of states at the Fermi level at 6.85 states/eV/cell.

```
data_BaSmMg4
_chemical_formula_sum 'Ba1 Sm1 Mg4'
_cell_length_a 6.333
_cell_length_b 6.333
_cell_length_c 6.333
_cell_angle_alpha 60.00
_cell_angle_beta 60.00
_cell_angle_gamma 60.00
_symmetry_space_group_name_H-M 'P 1'
_symmetry_Int_Tables_number 1
loop_
_symmetry_equiv_pos_as_xyz
'x,y,z'
loop_
_atom_site_label
_atom_site_type_symbol
_atom_site_fract_x
_atom_site_fract_y
_atom_site_fract_z
Ba1 Ba 0.000 0.000 0.000
Sm1 Sm 0.750 0.750 0.750
Mg1 Mg 0.376 0.376 0.376
Mg2 Mg 0.376 0.376 0.871
Mg3 Mg 0.376 0.871 0.376
Mg4 Mg 0.871 0.376 0.376
```

=====

Entry 5:
A geometry-optimized BaSmMg2 structure, computed with GGA-PBE.

Properties
Its total magnetization is 0.0000 μB per atom. As for the formation enthalpy at 0 K: -4.40 kJ per mole of atoms. The calculation puts the density of states at the Fermi level at 4.14 states/eV/cell. The distance to the lowest polymorph of the same formula comes out at 0.000 eV per atom.

```
data_BaSmMg2
_chemical_formula_sum 'Ba1 Sm1 Mg2'
_cell_length_a 4.039
_cell_length_b 4.039
_cell_length_c 8.390
_cell_angle_alpha 90.00
_cell_angle_beta 90.00
_cell_angle_gamma 90.00
_symmetry_space_group_name_H-M 'P 1'
_symmetry_Int_Tables_number 1
loop_
_symmetry_equiv_pos_as_xyz
'x,y,z'
loop_
_atom_site_label
_atom_site_type_symbol
_atom_site_fract_x
_atom_site_fract_y
_atom_site_fract_z
Ba1 Ba 0.000 0.000 0.000
Sm1 Sm 0.000 0.000 0.500
Mg1 Mg 0.500 0.500 0.292
Mg2 Mg 0.500 0.500 0.708
```

=====

Entry 6:
A geometry-optimized BaSmMgSn structure, computed with GGA-PBE.

Properties
Its total magnetization is 0.0000 μB per atom. As for the formation enthalpy at 0 K: -29.07 kJ per mole of atoms. The calculation puts the density of states at the Fermi level at 13.58 states/eV/cell.

```
data_BaSmMgSn
_chemical_formula_sum 'Ba4 Sm4 Mg4 Sn4'
_cell_length_a 8.043
_cell_length_b 8.043
_cell_length_c 8.043
_cell_angle_alpha 90.00
_cell_angle_beta 90.00
_cell_angle_gamma 90.00
_symmetry_space_group_name_H-M 'P 1'
_symmetry_Int_Tables_number 1
loop_
_symmetry_equiv_pos_as_xyz
'x,y,z'
loop_
_atom_site_label
_atom_site_type_symbol
_atom_site_fract_x
_atom_site_fract_y
_atom_site_fract_z
Ba1 Ba 0.000 0.000 0.000
Ba2 Ba 0.000 0.500 0.500
Ba3 Ba 0.500 0.000 0.500
Ba4 Ba 0.500 0.500 0.000
Sm1 Sm 0.000 0.000 0.500
Sm2 Sm 0.000 0.500 0.000
Sm3 Sm 0.500 0.000 0.000
Sm4 Sm 0.500 0.500 0.500
Mg1 Mg 0.250 0.250 0.250
Mg2 Mg 0.250 0.750 0.750
Mg3 Mg 0.750 0.250 0.750
Mg4 Mg 0.750 0.750 0.250
Sn1 Sn 0.250 0.250 0.750
Sn2 Sn 0.250 0.750 0.250
Sn3 Sn 0.750 0.250 0.250
Sn4 Sn 0.750 0.750 0.750
```